(1)
Computed, not measured: an optimized crystal structure of KInGa2Br4 at the PBE-GGA level of DFT.

Values from the calculation:
ΔE_f (raw) (eV per atom): -0.859
Total energy (eV/atom): -2.93
Magnetic moment (μB per formula unit): 0.0
Density (Mg/m³): 3.698
Symmetry: P2/m

The structure in POSCAR format:
```
KInGa2Br4
1.0
-0.2494 -4.1555 1.9540
7.9461 -0.5360 -0.1255
2.9652 3.0003 6.7591
K In Ga Br
1 1 2 4
direct
0.0000 0.5000 0.5000 K
0.5000 0.5000 0.0000 In
0.0000 0.0000 0.0000 Ga
0.5000 0.0000 0.5000 Ga
0.0000 0.7644 0.7433 Br
0.0000 0.2356 0.2567 Br
0.5000 0.7641 0.2470 Br
0.5000 0.2359 0.7530 Br
```

***

(2)
Computed, not measured: an optimized crystal structure of Tl2NiTe at the PBE-GGA level of DFT.

Values from the calculation:
ΔE_f (raw) (eV per atom): 0.025
Total energy (eV/atom): -3.39
Magnetic moment (μB per formula unit): 0.0
Density (Mg/m³): 9.112
Symmetry: C2/m

The structure in POSCAR format:
```
Tl2NiTe
1.0
8.3377 0.0275 -0.0120
7.5970 3.4355 -0.0120
0.9216 0.2003 3.8121
Ni Te Tl
1 1 2
direct
0.7500 0.7500 0.7500 Ni
0.2500 0.2500 0.2500 Te
0.0816 0.0816 0.9181 Tl
0.4184 0.4184 0.5819 Tl
```

***

(3)
Computed, not measured: an optimized crystal structure of TaAu2C at the PBE-GGA level of DFT.

Values from the calculation:
Total energy (eV/atom): -6.07
Magnetic moment (μB per formula unit): 0.0
Formation enthalpy at 0 K (kJ/mol of atoms): 81
Density (Mg/m³): 15.051
Symmetry: I-42d

The structure in POSCAR format:
```
TaAu2C
1.0
-7.5282 -0.9717 -0.1620
0.8005 -5.3064 -5.3708
-3.1940 -4.7199 -1.1792
C Au Ta
2 4 2
direct
0.5000 0.5000 0.0000 C
0.2500 0.7500 0.5000 C
0.5288 0.1250 0.2500 Au
0.2212 0.6250 0.2500 Au
0.3750 0.4712 0.7500 Au
0.8750 0.7788 0.7500 Au
0.0000 0.0000 0.0000 Ta
0.7500 0.2500 0.5000 Ta
```

***

(4)
Computed, not measured: an optimized crystal structure of Ba3Tl4Sb4 at the PBE-GGA level of DFT.

Values from the calculation:
ΔE_f (raw) (eV per atom): -0.561
Total energy (eV/atom): -3.44
Magnetic moment (μB per formula unit): 0.0
Density (Mg/m³): 7.162
Symmetry: Immm

The structure in POSCAR format:
```
Ba3Tl4Sb4
1.0
4.6917 0.0000 -1.1671
-1.1819 8.4131 -4.7514
0.0096 0.0473 10.0525
Ba Tl Sb
3 4 4
direct
0.1137 0.1137 0.2274 Ba
0.8863 0.8863 0.7726 Ba
0.0000 0.5000 0.0000 Ba
0.3248 0.1267 0.6497 Tl
0.6752 0.4771 0.3503 Tl
0.6752 0.8733 0.3503 Tl
0.3248 0.5229 0.6497 Tl
0.2213 0.7213 0.4426 Sb
0.7787 0.2787 0.5574 Sb
0.5000 0.7817 0.0000 Sb
0.5000 0.2183 0.0000 Sb
```

***

(5)
Computed, not measured: an optimized crystal structure of LiTbThSe3 at the PBE-GGA level of DFT.

Values from the calculation:
ΔE_f (raw) (eV per atom): -1.545
Total energy (eV/atom): -5.61
Magnetic moment (μB per formula unit): 0.0
Density (Mg/m³): 7.276
Symmetry: P2_1/m

The structure in POSCAR format:
```
LiTbThSe3
1.0
3.9627 0.0000 0.0000
0.0000 8.5108 0.5876
0.0000 -2.6623 8.4077
Li Tb Th Se
2 2 2 6
direct
0.2500 0.0895 0.5864 Li
0.7500 0.9105 0.4136 Li
0.2500 0.6614 0.1453 Tb
0.7500 0.3386 0.8547 Tb
0.7500 0.8044 0.7813 Th
0.2500 0.1956 0.2187 Th
0.2500 0.7816 0.5058 Se
0.7500 0.9099 0.1304 Se
0.7500 0.4439 0.1962 Se
0.7500 0.2184 0.4942 Se
0.2500 0.5561 0.8038 Se
0.2500 0.0901 0.8696 Se
```

***

(6)
Computed, not measured: an optimized crystal structure of PmFeCo2H8 at the PBE-GGA level of DFT.

Values from the calculation:
Total energy (eV/atom): -4.68
Magnetic moment (μB per formula unit): 2.5
Density (Mg/m³): 6.075
Symmetry: R-3

The structure in POSCAR format:
```
PmFeCo2H8
1.0
-3.8626 -0.2526 -2.0962
-2.8995 -3.1252 1.0973
-4.4196 2.1461 3.2633
Pm Fe Co H
1 1 2 8
direct
0.5000 0.5000 0.5000 Pm
0.0000 0.0000 0.0000 Fe
0.3000 0.3000 0.1000 Co
0.7000 0.7000 0.9000 Co
0.1987 0.1987 0.4040 H
0.6416 0.3163 0.1402 H
0.8013 0.8013 0.5960 H
0.9018 0.6416 0.1402 H
0.0982 0.3584 0.8598 H
0.3163 0.9018 0.1402 H
0.6837 0.0982 0.8598 H
0.3584 0.6837 0.8598 H
```

***

(7)
Computed, not measured: an optimized crystal structure of POsBrO2 at the PBE-GGA level of DFT.

Values from the calculation:
ΔE_f (raw) (eV per atom): 1.240
Total energy (eV/atom): -4.41
Magnetic moment (μB per formula unit): 1.9
Density (Mg/m³): 6.725
Symmetry: P4/mmm

The structure in POSCAR format:
```
POsBrO2
1.0
-2.9723 -1.9085 0.8784
-0.8062 -0.3691 -3.5302
3.3093 -5.2491 -0.2069
P Os O Br
1 1 2 1
direct
0.0000 0.0000 0.5000 P
0.5000 0.5000 0.5000 Os
0.0000 0.5000 0.0000 O
0.5000 0.0000 0.0000 O
0.0000 0.0000 0.0000 Br
```

***

(8)
Computed, not measured: an optimized crystal structure of MgTl2Cl at the PBE-GGA level of DFT.

Values from the calculation:
ΔE_f (raw) (eV per atom): -0.337
Total energy (eV/atom): -2.38
Magnetic moment (μB per formula unit): 0.0
Density (Mg/m³): 7.139
Symmetry: Pmmm

The structure in POSCAR format:
```
MgTl2Cl
1.0
3.4944 0.0000 0.0000
0.0000 5.9226 0.0000
0.0000 0.0000 5.2657
Cl Mg Tl
1 1 2
direct
0.5000 0.0000 0.5000 Cl
0.0000 0.5000 0.5000 Mg
0.0000 0.0000 0.0000 Tl
0.5000 0.5000 0.0000 Tl
```

***

(9)
Computed, not measured: an optimized crystal structure of RhBr2N at the PBE-GGA level of DFT.

Values from the calculation:
ΔE_f (raw) (eV per atom): 1.404
Total energy (eV/atom): -3.35
Magnetic moment (μB per formula unit): 0.0
Density (Mg/m³): 5.515
Symmetry: I-42d

The structure in POSCAR format:
```
RhBr2N
1.0
-0.5456 5.0060 -1.2370
-1.1291 -1.3297 -4.8831
-6.8514 1.5459 -1.5899
Rh Br N
2 4 2
direct
0.0000 0.0000 0.0000 Rh
0.7500 0.2500 0.5000 Rh
0.6014 0.1250 0.2500 Br
0.1486 0.6250 0.2500 Br
0.3750 0.3986 0.7500 Br
0.8750 0.8514 0.7500 Br
0.5000 0.5000 0.0000 N
0.2500 0.7500 0.5000 N
```

***

(10)
Computed, not measured: an optimized crystal structure of UFe2Si2Os at the PBE-GGA level of DFT.

Values from the calculation:
ΔE_f (raw) (eV per atom): 0.401
Total energy (eV/atom): -7.98
Magnetic moment (μB per formula unit): 2.1
Density (Mg/m³): 9.147
Symmetry: P4/mmm

The structure in POSCAR format:
```
UFe2Si2Os
1.0
4.6045 0.0000 0.0000
0.0000 4.6045 0.0000
0.0000 0.0000 5.1045
U Fe Si Os
1 2 2 1
direct
0.0000 0.0000 0.5000 U
0.5000 0.5000 0.7622 Fe
0.5000 0.5000 0.2378 Fe
0.5000 0.0000 0.0000 Si
0.0000 0.5000 0.0000 Si
0.0000 0.0000 0.0000 Os
```

***

(11)
Computed, not measured: an optimized crystal structure of YNi2P at the PBE-GGA level of DFT.

Values from the calculation:
Total energy (eV/atom): -6.60
Magnetic moment (μB per formula unit): 0.0
Formation enthalpy at 0 K (kJ/mol of atoms): -71
Density (Mg/m³): 6.240
Symmetry: R3m

The structure in POSCAR format:
```
YNi2P
1.0
4.8938 -1.9565 0.0017
4.8938 1.9565 0.0017
4.1105 0.0000 3.2986
Y Ni P
1 2 1
direct
0.7529 0.7529 0.7529 Y
0.9569 0.9569 0.9569 Ni
0.2382 0.2382 0.2382 Ni
0.5530 0.5530 0.5530 P
```

***

(12)
Computed, not measured: an optimized crystal structure of AcTbCd6 at the PBE-GGA level of DFT.

Values from the calculation:
Total energy (eV/atom): -2.03
Magnetic moment (μB per formula unit): 0.0
Formation enthalpy at 0 K (kJ/mol of atoms): -24
Density (Mg/m³): 8.631
Symmetry: P4/mmm

The structure in POSCAR format:
```
AcTbCd6
1.0
5.2595 0.0000 0.0000
0.0000 5.2617 0.0000
0.0000 0.0000 7.3717
Ac Tb Cd
1 1 6
direct
0.0000 0.7498 0.0000 Ac
0.5000 0.2503 0.5000 Tb
0.5000 0.7503 0.2696 Cd
0.0000 0.2498 0.7306 Cd
0.0000 0.2498 0.2694 Cd
0.5000 0.7503 0.7304 Cd
0.0000 0.7498 0.5000 Cd
0.5000 0.2500 0.0000 Cd
```